1.
The following is a DFT calculation (PBE-GGA) of crystalline RbHg3H at its relaxed geometry.

Raw total energy   -1.13 eV/atom
Magnetization   0.00 μB/f.u.

Unit cell a=7.0653 b=5.0986 c=7.9197 alpha=90.00 beta=92.82 gamma=90.00
Fractional coordinates of all 10 atoms:
Rb1 0.1183 0.2500 0.2265
Rb2 0.8817 0.7500 0.7735
Hg1 0.2764 0.2500 0.7368
Hg2 0.3552 0.7500 0.5197
Hg3 0.3876 0.7500 0.9863
Hg4 0.6124 0.2500 0.0137
Hg5 0.6448 0.2500 0.4803
Hg6 0.7236 0.7500 0.2632
H1 0.1445 0.7500 0.0664
H2 0.8555 0.2500 0.9336



2.
The following is a DFT calculation (PBE-GGA) of crystalline RbHgH at its relaxed geometry.

Raw total energy   -1.67 eV/atom
Magnetization   0.00 μB/f.u.

Unit cell a=5.4528 b=5.4528 c=8.0207 alpha=109.26 beta=109.26 gamma=59.21
Fractional coordinates of all 6 atoms:
Rb1 0.0903 0.0903 0.2801
Rb2 0.9097 0.9097 0.7199
Hg1 0.3328 0.3328 0.0005
Hg2 0.6672 0.6672 0.9995
H1 0.4797 0.4797 0.4484
H2 0.5203 0.5203 0.5516



3.
The following is a DFT calculation (PBE-GGA) of crystalline Rb5Hg2H at its relaxed geometry.

Raw total energy   -1.22 eV/atom
Magnetization   0.00 μB/f.u.

Unit cell a=8.5630 b=8.5630 c=17.9658 alpha=90.00 beta=90.00 gamma=141.42
Fractional coordinates of all 16 atoms:
Rb1 0.1125 0.8875 0.6203
Rb2 0.1125 0.8875 0.8797
Rb3 0.2524 0.7476 0.2500
Rb4 0.3853 0.6147 0.6217
Rb5 0.3853 0.6147 0.8783
Rb6 0.6147 0.3853 0.1217
Rb7 0.6147 0.3853 0.3783
Rb8 0.7476 0.2524 0.7500
Rb9 0.8875 0.1125 0.1203
Rb10 0.8875 0.1125 0.3797
Hg1 0.2502 0.7498 0.0415
Hg2 0.2502 0.7498 0.4585
Hg3 0.7498 0.2502 0.5415
Hg4 0.7498 0.2502 0.9585
H1 0.2484 0.7516 0.7500
H2 0.7516 0.2484 0.2500



4.
The following is a DFT calculation (PBE-GGA) of crystalline RbHg4H12 at its relaxed geometry.

Raw total energy   -2.47 eV/atom
Magnetization   0.00 μB/f.u.

Unit cell a=7.5023 b=7.5023 c=7.5023 alpha=109.47 beta=109.47 gamma=109.47
Fractional coordinates of all 17 atoms:
Rb1 0.0000 0.0000 0.0000
Hg1 0.0000 0.0000 0.5000
Hg2 0.0000 0.5000 0.0000
Hg3 0.5000 0.0000 0.0000
Hg4 0.5000 0.5000 0.5000
H1 0.1543 0.6106 0.4563
H2 0.1543 0.6980 0.5437
H3 0.3020 0.4563 0.8457
H4 0.3894 0.5437 0.8457
H5 0.4563 0.1543 0.6106
H6 0.4563 0.8457 0.3020
H7 0.5437 0.1543 0.6980
H8 0.5437 0.8457 0.3894
H9 0.6106 0.4563 0.1543
H10 0.6980 0.5437 0.1543
H11 0.8457 0.3020 0.4563
H12 0.8457 0.3894 0.5437



5.
The following is a DFT calculation (PBE-GGA) of crystalline RbHgH3 at its relaxed geometry.

Raw total energy   -1.35 eV/atom
Magnetization   2.00 μB/f.u.

Unit cell a=5.1383 b=5.1383 c=5.1383 alpha=90.00 beta=90.00 gamma=90.00
Fractional coordinates of all 5 atoms:
Rb1 0.0000 0.0000 0.0000
Hg1 0.5000 0.5000 0.5000
H1 0.0000 0.0000 0.5000
H2 0.0000 0.5000 0.0000
H3 0.5000 0.0000 0.0000



6.
The following is a DFT calculation (PBE-GGA) of crystalline RbHg3H4 at its relaxed geometry.

Raw total energy   -1.94 eV/atom
Magnetization   0.00 μB/f.u.

Unit cell a=10.5822 b=10.5822 c=10.5822 alpha=158.55 beta=145.93 gamma=40.61
Fractional coordinates of all 8 atoms:
Rb1 0.0000 0.0000 0.0000
Hg1 0.3750 0.8750 0.5000
Hg2 0.5000 0.5000 0.0000
Hg3 0.6250 0.1250 0.5000
H1 0.2038 0.6085 0.4046
H2 0.2038 0.7992 0.5954
H3 0.7962 0.2008 0.4046
H4 0.7962 0.3915 0.5954